Below is an optimized crystal structure of CsZn2As2, with properties calculated at the GGA-PBE level.

Geometry as CIF:
```
data_CsZn2As2
_chemical_formula_sum 'Cs1 Zn2 As2'
_space_group_name_H-M_alt 'P 4/m m m'
_space_group_IT_number 123
_space_group_name_Hall '-P 4 2'
_cell_length_a 4.0013
_cell_length_b 4.0013
_cell_length_c 8.2648
_cell_angle_alpha 90.00
_cell_angle_beta 90.00
_cell_angle_gamma 90.00
loop_
_atom_site_label
_atom_site_type_symbol
_atom_site_fract_x
_atom_site_fract_y
_atom_site_fract_z
Cs1 Cs 0.0000 0.0000 0.0000
Zn1 Zn 0.0000 0.5000 0.5000
As1 As 0.5000 0.5000 0.2947
```

Summary:
For the density of states at the Fermi level, the calculation gives 3.9 states/eV per cell. The total moment comes out at 0.00 μB/atom. Its formation enthalpy at 0 K is -0.11 eV per atom. Its total energy is -2.652 eV per atom.